Entry 1:
Density functional theory data (PBE) for an optimized crystal structure of Zn2B2Rh5.

Geometry as extended XYZ:
```
18
Lattice="6.960 -2.865 0.000 6.960 2.865 0.000 0.000 0.000 5.715" Properties=species:S:1:pos:R:3 pbc="T T T"
Zn 3.196 0.000 0.000
Zn 3.764 0.000 2.858
Zn 10.157 0.000 2.858
Zn 10.724 0.000 0.000
B 6.960 2.188 3.529
B 6.960 0.677 0.672
B 6.960 -0.677 5.044
B 6.960 -2.188 2.186
Rh 0.000 0.000 0.000
Rh 5.395 1.878 1.873
Rh 5.395 0.987 4.731
Rh 8.526 1.878 1.873
Rh 8.526 0.987 4.731
Rh 6.960 0.000 2.858
Rh 5.395 -0.987 0.985
Rh 5.395 -1.878 3.842
Rh 8.526 -0.987 0.985
Rh 8.526 -1.878 3.842
```

Calculated values
- DOS(E_F): 13.11 states/eV per cell
- Total magnetization: 0.000 μB per formula unit
- Space group: No. 64
- DFT formation energy: -0.243 eV per atom

Entry 2:
Density functional theory data (PBE) for an optimized crystal structure of Np2Ge3Ir2.

Geometry as extended XYZ:
```
14
Lattice="2.080 -9.114 0.000 2.080 9.114 0.000 0.000 0.000 7.012" Properties=species:S:1:pos:R:3 pbc="T T T"
Np 2.080 8.150 5.259
Np 2.080 6.233 1.753
Np 2.080 -6.233 5.259
Np 2.080 -8.150 1.753
Ge 2.080 5.150 5.259
Ge 2.080 1.153 3.962
Ge 2.080 1.153 6.555
Ge 2.080 -1.153 0.457
Ge 2.080 -1.153 3.049
Ge 2.080 -5.150 1.753
Ir 2.080 3.541 0.298
Ir 2.080 3.541 3.208
Ir 2.080 -3.541 3.803
Ir 2.080 -3.541 6.714
```

Calculated values
- Offset from the most stable computed form: 0.000 eV/atom
- DOS(E_F): 30.30 states/eV per cell
- Total magnetization: 7.007 μB per formula unit
- Space group: No. 63
- DFT formation energy: -0.335 eV per atom

Entry 3:
Density functional theory data (PBE) for an optimized crystal structure of TbPr2Hf.

Geometry as extended XYZ:
```
4
Lattice="1.701 0.982 12.326 -1.701 0.982 12.326 0.000 -1.964 12.326" Properties=species:S:1:pos:R:3 pbc="T T T"
Tb 0.000 0.000 0.000
Pr 0.000 0.000 15.353
Pr 0.000 0.000 21.623
Hf 0.000 0.000 18.488
```

Calculated values
- Offset from the most stable computed form: 0.206 eV/atom
- DOS(E_F): 5.52 states/eV per cell
- Total magnetization: 0.000 μB per formula unit
- Space group: No. 166
- DFT formation energy: 0.393 eV per atom

Entry 4:
Density functional theory data (PBE) for an optimized crystal structure of SrPb2Se.

Geometry as extended XYZ:
```
4
Lattice="0.000 3.241 6.245 3.159 0.000 6.245 3.159 3.241 0.000" Properties=species:S:1:pos:R:3 pbc="T T T"
Sr 0.000 0.000 0.000
Pb 3.159 1.620 3.123
Pb 0.000 1.620 3.123
Se 3.159 3.241 6.245
```

Calculated values
- DOS(E_F): 2.58 states/eV per cell
- Total magnetization: 0.000 μB per formula unit
- Space group: No. 69
- Final energy: -15.197 eV per formula unit

Entry 5:
Density functional theory data (PBE) for an optimized crystal structure of Zn3Os.

Geometry as extended XYZ:
```
4
Lattice="4.582 -1.325 0.000 4.582 1.325 0.000 -0.638 0.000 4.732" Properties=species:S:1:pos:R:3 pbc="T T T"
Zn 0.000 0.000 0.000
Zn 1.758 0.000 3.527
Zn 6.768 0.000 1.205
Os 4.263 0.000 2.366
```

Calculated values
- DOS(E_F): 1.11 states/eV per cell
- Total magnetization: 0.000 μB per formula unit
- Space group: No. 12
- DFT formation energy: 0.133 eV per atom

Entry 6:
Density functional theory data (PBE) for an optimized crystal structure of MgTl2Cd2.

Geometry as extended XYZ:
```
10
Lattice="8.655 0.000 0.000 0.000 8.655 0.000 0.000 0.000 3.692" Properties=species:S:1:pos:R:3 pbc="T T T"
Mg 0.000 0.000 0.000
Mg 4.327 4.327 0.000
Tl 1.468 2.860 0.000
Tl 2.860 7.187 0.000
Tl 5.795 1.468 0.000
Tl 7.187 5.795 0.000
Cd 1.126 5.454 1.846
Cd 3.201 1.126 1.846
Cd 5.454 7.529 1.846
Cd 7.529 3.201 1.846
```

Calculated values
- Offset from the most stable computed form: 0.099 eV/atom
- DOS(E_F): 3.64 states/eV per cell
- Total magnetization: 0.000 μB per formula unit
- Space group: No. 127
- DFT formation energy: 0.115 eV per atom

Entry 7:
Density functional theory data (PBE) for an optimized crystal structure of AgTePdI2.

Geometry as extended XYZ:
```
5
Lattice="5.647 0.000 0.000 0.000 5.647 0.000 0.000 0.000 5.479" Properties=species:S:1:pos:R:3 pbc="T T T"
Ag 0.000 0.000 0.000
Te 0.000 0.000 2.740
Pd 2.824 2.824 2.740
I 0.000 2.824 0.000
I 2.824 0.000 0.000
```

Calculated values
- Offset from the most stable computed form: 0.398 eV/atom
- DOS(E_F): 9.01 states/eV per cell
- Total magnetization: 1.544 μB per formula unit
- Space group: No. 123

Entry 8:
Density functional theory data (PBE) for an optimized crystal structure of TcRh.

Geometry as extended XYZ:
```
2
Lattice="2.747 0.000 0.000 -1.374 2.379 0.000 0.000 0.000 4.358" Properties=species:S:1:pos:R:3 pbc="T T T"
Tc 0.000 0.000 0.000
Rh 1.374 0.793 2.179
```

Calculated values
- Offset from the most stable computed form: 0.053 eV/atom
- DOS(E_F): 1.32 states/eV per cell
- Total magnetization: 0.000 μB per formula unit
- Space group: No. 187
- DFT formation energy: -0.122 eV per atom

Which formula does entry 7 have?
AgTePdI2

Which of these has the highest DOS(E_F)?
Np2Ge3Ir2

What is the formula in the first record?
Zn2B2Rh5